Density functional theory data (GGA+U) for AcCeMo2O8 after structural relaxation. Values from VASP.

The structure in Quantum ESPRESSO input format:
```
&SYSTEM
  ibrav = 0, nat = 12, ntyp = 4
/
ATOMIC_SPECIES
O 16.00 O.upf
Mo 95.94 Mo.upf
Ac 227.00 Ac.upf
Ce 140.12 Ce.upf
CELL_PARAMETERS angstrom
5.464 0.000 0.000
0.000 5.464 0.000
-2.732 -2.732 5.910
ATOMIC_POSITIONS crystal
O 0.318 0.922 0.336
O 0.078 0.982 0.664
O 0.586 0.682 0.664
Mo 0.500 0.500 0.000
Mo 0.250 0.750 0.500
O 0.018 0.414 0.336
Ac 0.750 0.250 0.500
Ce 0.000 0.000 0.000
O 0.751 0.830 0.155
O 0.675 0.249 0.845
O 0.170 0.596 0.845
O 0.404 0.325 0.155
```

Calculated total energy = -7.76 eV per atom